# La3HoGa2

A relaxed structure of La3HoGa2 (PBE, Alexandria).

## Properties
Energy above the lowest structure with this stoichiometry: 20 kJ/mol of formula units
Density of states at the Fermi level: 31.060 states/eV per cell
Energy of formation from the pure elements: -0.375 eV/atom

Unit cell a=6.6887 b=16.1801 c=6.6291 alpha=90.00 beta=90.00 gamma=90.00
Space group Ibam (No. 72)
Symmetry-distinct sites (fractional):
La: 0.0000 0.0000 0.2500 (multiplicity 4)
La: 0.2453 0.3188 0.0000 (multiplicity 8)
Ho: 0.0000 0.5000 0.2500 (multiplicity 4)
Ga: 0.2360 0.3720 0.5000 (multiplicity 8)